# TiIr2F

An optimized crystal structure of TiIr2F (PBE-GGA, Alexandria via LeMat-Bulk).

## Properties
The energy above the most stable polymorph in this dataset comes out at 216 meV per atom. For the formation energy from raw total energies, the calculation gives -24.6 kJ per mole of atoms.

Lattice parameters (Å, degrees): 4.2821 4.2821 4.2821 60.00 60.00 60.00
Last column: nearest neighbours and their distance in Å.
Atoms (fractional coordinates):
Ti1 0.0000 0.0000 0.0000  8 Ir 2.62
Ir1 0.2500 0.2500 0.2500  4 F 2.62, 4 Ti 2.62
Ir2 0.7500 0.7500 0.7500  4 F 2.62, 4 Ti 2.62
F1 0.5000 0.5000 0.5000  8 Ir 2.62

---

# Ti3IrF

An optimized crystal structure of Ti3IrF (PBE-GGA, Alexandria via LeMat-Bulk).

## Properties
The energy above the most stable polymorph in this dataset comes out at 0 meV per atom. For the formation energy from raw total energies, the calculation gives -77.8 kJ per mole of atoms.

Lattice parameters (Å, degrees): 4.1296 4.1296 4.1296 90.00 90.00 90.00
Last column: nearest neighbours and their distance in Å.
Atoms (fractional coordinates):
Ti1 0.0000 0.0000 0.5000  2 F 2.06
Ti2 0.0000 0.5000 0.0000  2 F 2.06
Ti3 0.5000 0.0000 0.0000  2 F 2.06
Ir1 0.5000 0.5000 0.5000  12 Ti 2.92
F1 0.0000 0.0000 0.0000  6 Ti 2.06

---

# TiIrF

An optimized crystal structure of TiIrF (PBE-GGA, Alexandria via LeMat-Bulk).

## Properties
The energy above the most stable polymorph in this dataset comes out at 98 meV per atom. For the formation energy from raw total energies, the calculation gives -158.4 kJ per mole of atoms.

Lattice parameters (Å, degrees): 2.8538 2.8538 12.0211 90.00 90.00 120.00
Last column: nearest neighbours and their distance in Å.
Atoms (fractional coordinates):
Ti1 0.0000 0.0000 0.2315  3 F 2.10
Ti2 0.0000 0.0000 0.7685  3 F 2.10
Ir1 0.3333 0.6667 0.3995  3 Ti 2.61, 6 Ir 2.85
Ir2 0.6667 0.3333 0.6005  3 Ti 2.61, 6 Ir 2.85
F1 0.3333 0.6667 0.1226  3 Ti 2.10
F2 0.6667 0.3333 0.8774  3 Ti 2.10